First-principles (GGA-PBE) data for crystalline Ac6In2Pb at its relaxed geometry, as listed in Alexandria.

Computed properties:
The energy above the most stable polymorph in this dataset is 0 meV/atom. As for the total moment: 0.000 μB per atom. The calculated formation energy is -0.30 eV/atom. The total DFT energy (no corrections) is -4.0587 eV per atom.

Lattice parameters (Å, degrees): 9.7650 9.7650 9.7650 111.96 110.49 106.02
Element x y z (fractional)
Ac (0.0405, 0.8283, 0.2121)
Ac (0.2522, 0.5519, 0.2997)
Ac (0.2522, 0.9524, 0.7003)
Ac (0.2692, 0.3218, 0.5909)
Ac (0.2692, 0.6782, 0.9474)
Ac (0.3838, 0.1717, 0.2121)
Ac (0.6162, 0.8283, 0.7879)
Ac (0.7308, 0.3218, 0.0526)
Ac (0.7308, 0.6782, 0.4091)
Ac (0.7478, 0.0476, 0.2997)
Ac (0.7478, 0.4481, 0.7003)
Ac (0.9595, 0.1717, 0.7879)
In (0.0000, 0.1459, 0.1459)
In (0.0000, 0.8541, 0.8541)
In (0.3758, 0.3758, 0.0000)
In (0.6242, 0.6242, 0.0000)
Pb (0.0000, 0.5000, 0.5000)
Pb (0.5000, 0.0000, 0.5000)